VASP calculation (PBE+U) on a relaxed InCo2O crystal.

abc: 6.0876 6.0876 6.0876
angles: 90.00 90.00 90.00
Closest atoms and distances in Å follow each position.
Space group Fm-3m (No. 225)
Inequivalent atoms, fractional coordinates:
In (0.0000, 0.0000, 0.0000) (multiplicity 4)  8 Co 2.64
Co (0.2500, 0.2500, 0.2500) (multiplicity 8)  4 O 2.64, 4 In 2.64
O (0.0000, 0.0000, 0.5000) (multiplicity 4)  8 Co 2.64

Total DFT energy (no corrections) ... -3.79 eV/atom
Energy above the lowest structure with this stoichiometry ... 722 meV/atom